(1)
A plane-wave DFT calculation with GGA-PBE was carried out for a geometry-optimized YZn2Pb2 structure.

Calculated values
Formation energy from the elements = -0.04 eV/atom
Polymorph energy (0 for the lowest one) = 0.087 eV per atom

Structure (POSCAR):
```
YZn2Pb2
1.0
-2.455 2.455 5.230
2.455 -2.455 5.230
2.455 2.455 -5.230
Y Zn Pb
1 2 2
Direct
0.000 0.000 0.000 Y
0.388 0.388 0.000 Zn
0.612 0.612 0.000 Zn
0.250 0.750 0.500 Pb
0.750 0.250 0.500 Pb
```

=====

(2)
A plane-wave DFT calculation with GGA-PBE was carried out for a geometry-optimized Ta2Rh structure.

Calculated values
Formation energy from the elements = -0.11 eV/atom

Structure (POSCAR):
```
Ta2Rh
1.0
2.997 0.000 0.000
-1.498 2.595 0.000
0.000 0.000 6.652
Ta Rh
2 1
Direct
0.333 0.667 0.321 Ta
0.667 0.333 0.679 Ta
0.000 0.000 0.000 Rh
```

=====

(3)
A plane-wave DFT calculation with GGA-PBE was carried out for a geometry-optimized Y2MgPdC structure.

Calculated values
Formation energy from the elements = -0.23 eV/atom
Polymorph energy (0 for the lowest one) = 0.119 eV per atom

Structure (POSCAR):
```
Y2MgPdC
1.0
4.971 0.000 0.000
0.000 4.971 0.000
0.000 0.000 4.150
Y Mg Pd C
2 1 1 1
Direct
0.000 0.500 0.000 Y
0.500 0.000 0.000 Y
0.000 0.000 0.500 Mg
0.500 0.500 0.500 Pd
0.500 0.500 0.000 C
```

=====

(4)
A plane-wave DFT calculation with GGA-PBE was carried out for a geometry-optimized K4Zr3NiSe8 structure.

Calculated values
Formation energy from raw total energies = -1.157 eV/atom

Structure (POSCAR):
```
K4Zr3NiSe8
1.0
3.950 2.281 7.662
-3.950 2.281 7.662
0.000 -4.561 7.662
K Zr Ni Se
4 3 1 8
Direct
0.000 0.000 0.000 K
0.000 0.500 0.500 K
0.500 0.000 0.500 K
0.500 0.500 0.000 K
0.000 0.000 0.500 Zr
0.000 0.500 0.000 Zr
0.500 0.000 0.000 Zr
0.500 0.500 0.500 Ni
0.235 0.235 0.235 Se
0.238 0.727 0.727 Se
0.273 0.273 0.762 Se
0.273 0.762 0.273 Se
0.727 0.238 0.727 Se
0.727 0.727 0.238 Se
0.762 0.273 0.273 Se
0.765 0.765 0.765 Se
```